Below is crystalline Ac8TbDy4 at its relaxed geometry, with properties calculated at the PBE level.

Cell: 11.7538 11.7538 8.3076 Å, 90.00 135.02 120.00°
Fractional positions:
1 Ac 0.0004 0.7580 0.7584
2 Ac 0.9996 0.2420 0.2416
3 Ac 0.5161 0.7580 0.7584
4 Ac 0.9996 0.7577 0.2416
5 Ac 0.0004 0.2423 0.7584
6 Ac 0.5158 0.7579 0.2737
7 Ac 0.4842 0.2421 0.7263
8 Ac 0.4839 0.2420 0.2416
9 Dy 0.5000 0.5000 0.0000
10 Dy 0.0000 0.5000 0.0000
11 Dy 0.0000 0.0000 0.0000
12 Dy 0.5000 0.0000 0.0000
13 Tb 0.0000 0.5000 0.5000

## Properties
As for the total magnetization: 0.00 μB/f.u. As for the formation energy: 0.39 eV per atom. The crystal system is trigonal.